No. 1
The following is a PBE calculation of an optimized crystal structure of NaGaH2Pb, from Alexandria via LeMat-Bulk.

Lattice parameters (Å, degrees): 4.3263 6.2410 4.3263 90.00 90.00 90.00
Last column: nearest neighbours and their distance in Å.
Positions (direct):
Pb  0.0000  0.0000  0.0000  4 H 2.16
Na  0.0000  0.5000  0.0000  4 Ga 3.06, 2 Pb 3.12
Ga  0.5000  0.5000  0.5000  4 Na 3.06
H  0.0000  0.0000  0.5000  2 Pb 2.16
H  0.5000  0.0000  0.0000  2 Pb 2.16

Output
For the size of the total moment, the calculation gives 0.0 μB per formula unit. As for the volume: 23.36 Å³/atom. Its total energy is -2.437 eV/atom. The calculation puts the density at 4.29 Mg/m³.


No. 2
The following is a PBE calculation of an optimized crystal structure of MgBe2O, from Alexandria via LeMat-Bulk.

Lattice parameters (Å, degrees): 4.1521 4.1521 4.1521 60.00 60.00 60.00
Last column: nearest neighbours and their distance in Å.
Positions (direct):
Be  0.2500  0.2500  0.2500  4 Mg 2.54, 4 O 2.54
Be  0.7500  0.7500  0.7500  4 Mg 2.54, 4 O 2.54
Mg  0.5000  0.5000  0.5000  8 Be 2.54
O  0.0000  0.0000  0.0000  8 Be 2.54

Output
For the formation energy from raw total energies, the calculation gives 3.43 eV per formula unit. For the size of the total moment, the calculation gives 0.0 μB per formula unit. As for the volume: 12.65 Å³/atom. The calculation puts the density at 1.91 Mg/m³.


No. 3
The following is a PBE calculation of an optimized crystal structure of BeNbSe, from Alexandria via LeMat-Bulk.

Lattice parameters (Å, degrees): 3.4602 4.8601 11.0982 125.00 109.37 44.62
Last column: nearest neighbours and their distance in Å.
Positions (direct):
Be  0.9126  0.9105  0.2711  2 Be 1.99, 1 Se 2.21
Be  0.4666  0.7404  0.1622  2 Be 1.99, 1 Se 2.21
Nb  0.8652  0.5589  0.3661  6 Be 2.51-2.58, 4 Se 2.78
Nb  0.5141  0.0919  0.0671  6 Be 2.51-2.58, 4 Se 2.78
Se  0.7905  0.2934  0.5164  1 Be 2.21
Se  0.5888  0.3574  0.9168  1 Be 2.21

Output
For the formation energy from raw total energies, the calculation gives -1.64 eV per formula unit. For the size of the total moment, the calculation gives 0.0 μB per formula unit. As for the volume: 17.74 Å³/atom. The calculation puts the density at 5.64 Mg/m³.


No. 4
The following is a PBE calculation of an optimized crystal structure of AcCeGe2Pd5, from Alexandria via LeMat-Bulk.

Lattice parameters (Å, degrees): 4.4417 4.4417 8.9450 90.00 90.00 90.00
Last column: nearest neighbours and their distance in Å.
Positions (direct):
Ac  0.0000  0.0000  0.0000  8 Pd 3.37, 8 Ge 3.41
Ce  0.0000  0.0000  0.5000  12 Pd 2.95-3.14
Ge  0.5000  0.5000  0.1475  4 Pd 2.53, 1 Ge 2.64
Ge  0.5000  0.5000  0.8525  4 Pd 2.53, 1 Ge 2.64
Pd  0.0000  0.5000  0.2837  2 Ge 2.53
Pd  0.5000  0.0000  0.2837  2 Ge 2.53
Pd  0.0000  0.5000  0.7163  2 Ge 2.53
Pd  0.5000  0.0000  0.7163  2 Ge 2.53
Pd  0.5000  0.5000  0.5000  8 Pd 2.95, 4 Ce 3.14, 2 Ge 3.15

Output
For the size of the total moment, the calculation gives 0.4 μB per formula unit. As for the volume: 19.61 Å³/atom. For the energy relative to the elements, the calculation gives -0.788 eV/atom. The calculation puts the density at 9.83 Mg/m³.


No. 5
The following is a PBE calculation of an optimized crystal structure of Pr3Y, from Alexandria via LeMat-Bulk.

Lattice parameters (Å, degrees): 3.7141 5.9700 6.4085 90.00 90.00 90.00
Last column: nearest neighbours and their distance in Å.
Positions (direct):
Pr  0.0000  0.5000  0.3336  2 Y 3.67, 10 Pr 3.67-3.71
Pr  0.5000  0.0000  0.4997  8 Pr 3.67-3.71, 4 Y 3.70-3.71
Pr  0.5000  0.5000  0.8325  8 Pr 3.67-3.71, 4 Y 3.68
Y  0.0000  0.0000  0.0007  10 Pr 3.67-3.71, 2 Y 3.71

Output
For the size of the total moment, the calculation gives 0.0 μB per formula unit. As for the volume: 35.52 Å³/atom. For the energy relative to the elements, the calculation gives 0.031 eV/atom. The calculation puts the density at 5.98 Mg/m³.


No. 6
The following is a PBE calculation of an optimized crystal structure of Ce2InAu3, from Alexandria via LeMat-Bulk.

Lattice parameters (Å, degrees): 5.9168 5.9168 9.7872 114.44 114.44 68.35
Last column: nearest neighbours and their distance in Å.
Positions (direct):
Ce  0.7500  0.2500  0.5000  8 Au 3.27-3.28, 4 In 3.29, 2 Ce 3.32
Ce  0.7671  0.2329  0.0000  1 Ce 3.10, 10 Au 3.24-3.32, 2 In 3.32
Ce  0.2500  0.7500  0.5000  8 Au 3.27-3.28, 4 In 3.29, 2 Ce 3.32
Ce  0.2329  0.7671  0.0000  1 Ce 3.10, 10 Au 3.24-3.32, 2 In 3.32
In  0.6655  0.6655  0.3311  3 Au 2.79-2.82
In  0.3345  0.3345  0.6689  3 Au 2.79-2.82
Au  0.8306  0.8306  0.1668  1 In 2.79, 2 Au 2.83-2.86
Au  0.6637  0.6637  0.8332  1 In 2.79, 2 Au 2.83-2.86
Au  0.1694  0.1694  0.8332  1 In 2.79, 2 Au 2.83-2.86
Au  0.3363  0.3363  0.1668  1 In 2.79, 2 Au 2.83-2.86
Au  0.1678  0.1678  0.3356  1 In 2.82, 2 Au 2.86
Au  0.8322  0.8322  0.6644  1 In 2.82, 2 Au 2.86

Output
For the size of the total moment, the calculation gives 1.5 μB per formula unit. As for the volume: 22.98 Å³/atom. For the energy relative to the elements, the calculation gives -0.642 eV/atom. The calculation puts the density at 11.87 Mg/m³.


No. 7
The following is a PBE calculation of an optimized crystal structure of ErTiRuPt, from Alexandria via LeMat-Bulk.

Lattice parameters (Å, degrees): 4.6272 4.6272 4.6272 60.00 60.00 60.00
Last column: nearest neighbours and their distance in Å.
Positions (direct):
Ru  0.0000  0.0000  0.0000  4 Er 2.83, 4 Ti 2.83
Ti  0.2500  0.2500  0.2500  4 Ru 2.83, 4 Pt 2.83
Pt  0.5000  0.5000  0.5000  4 Ti 2.83, 4 Er 2.83
Er  0.7500  0.7500  0.7500  4 Pt 2.83, 4 Ru 2.83

Output
For the size of the total moment, the calculation gives 0.0 μB per formula unit. As for the volume: 17.51 Å³/atom. For the energy relative to the elements, the calculation gives -0.684 eV/atom. The calculation puts the density at 12.12 Mg/m³.


No. 8
The following is a PBE calculation of an optimized crystal structure of BeInNF2, from Alexandria via LeMat-Bulk.

Lattice parameters (Å, degrees): 3.3397 3.3397 4.6834 90.00 90.00 90.00
Last column: nearest neighbours and their distance in Å.
Positions (direct):
Be  0.0000  0.0000  0.0000  4 F 1.67
N  0.0000  0.0000  0.5000  2 Be 2.34, 4 In 2.36
F  0.0000  0.5000  0.0000  2 Be 1.67
F  0.5000  0.0000  0.0000  2 Be 1.67
In  0.5000  0.5000  0.5000  4 N 2.36

Output
For the formation energy from raw total energies, the calculation gives -6.87 eV per formula unit. For the size of the total moment, the calculation gives 0.0 μB per formula unit. As for the volume: 10.45 Å³/atom. The calculation puts the density at 5.59 Mg/m³.


No. 9
The following is a PBE calculation of an optimized crystal structure of ScNi2WI, from Alexandria via LeMat-Bulk.

Lattice parameters (Å, degrees): 4.5430 5.0341 4.5430 90.00 90.00 90.00
Last column: nearest neighbours and their distance in Å.
Positions (direct):
I  0.0000  0.0000  0.0000  4 Ni 2.27, 2 W 2.52
Ni  0.0000  0.0000  0.5000  2 I 2.27
Ni  0.5000  0.0000  0.0000  2 I 2.27
Sc  0.5000  0.5000  0.5000  4 W 3.21, 8 Ni 3.39
W  0.0000  0.5000  0.0000  2 I 2.52

Output
For the formation energy from raw total energies, the calculation gives 6.45 eV per formula unit. For the size of the total moment, the calculation gives 0.0 μB per formula unit. As for the volume: 20.78 Å³/atom. The calculation puts the density at 7.56 Mg/m³.


No. 10
The following is a PBE calculation of an optimized crystal structure of AcHg4Pd8, from Alexandria via LeMat-Bulk.

Lattice parameters (Å, degrees): 5.8448 7.1755 7.1755 80.45 65.97 65.97
Last column: nearest neighbours and their distance in Å.
Positions (direct):
Ac  0.0000  0.0000  0.0000  12 Pd 3.22-3.57, 8 Hg 3.59
Hg  0.0000  0.0000  0.5000  8 Pd 2.75-2.89, 2 Hg 2.92
Hg  0.5000  0.0000  0.5000  8 Pd 2.75-2.89, 2 Hg 2.92
Hg  0.0000  0.5000  0.0000  8 Pd 2.75-2.89, 2 Hg 2.92
Hg  0.5000  0.5000  0.0000  8 Pd 2.75-2.89, 2 Hg 2.92
Pd  0.0000  0.3479  0.6521  5 Pd 2.82-3.15, 4 Hg 2.89
Pd  0.0000  0.6521  0.3479  5 Pd 2.82-3.15, 4 Hg 2.89
Pd  0.3479  0.6521  0.6521  5 Pd 2.82-3.15, 4 Hg 2.89
Pd  0.6521  0.3479  0.3479  5 Pd 2.82-3.15, 4 Hg 2.89
Pd  0.5000  0.7790  0.2210  4 Hg 2.75, 4 Pd 2.90-2.94
Pd  0.5000  0.2210  0.7790  4 Hg 2.75, 4 Pd 2.90-2.94
Pd  0.2790  0.2210  0.2210  4 Hg 2.75, 4 Pd 2.90-2.94
Pd  0.7210  0.7790  0.7790  4 Hg 2.75, 4 Pd 2.90-2.94

Output
For the size of the total moment, the calculation gives 0.0 μB per formula unit. As for the volume: 19.31 Å³/atom. For the energy relative to the elements, the calculation gives -0.271 eV/atom. The calculation puts the density at 12.44 Mg/m³.


No. 11
The following is a PBE calculation of an optimized crystal structure of Li2PuTiO8, from Alexandria via LeMat-Bulk.

Lattice parameters (Å, degrees): 5.6905 5.6905 5.6706 90.00 90.00 120.00
Last column: nearest neighbours and their distance in Å.
Positions (direct):
Li  0.6667  0.3333  0.1553  4 O 1.98-2.11
Li  0.3333  0.6667  0.8447  4 O 1.98-2.11
Pu  0.0000  0.0000  0.5000  6 O 2.10
Ti  0.0000  0.0000  0.0000  6 O 1.99
O  0.3333  0.6667  0.2164  1 Li 2.11
O  0.2864  0.2174  0.2367  1 Li 1.98, 1 Ti 1.99, 1 Pu 2.10
O  0.7826  0.0690  0.2367  1 Li 1.98, 1 Ti 1.99, 1 Pu 2.10
O  0.6667  0.3333  0.7836  1 Li 2.11
O  0.2174  0.9310  0.7633  1 Li 1.98, 1 Ti 1.99, 1 Pu 2.10
O  0.7136  0.7826  0.7633  1 Li 1.98, 1 Ti 1.99, 1 Pu 2.10
O  0.0690  0.2864  0.7633  1 Li 1.98, 1 Ti 1.99, 1 Pu 2.10
O  0.9310  0.7136  0.2367  1 Li 1.98, 1 Ti 1.99, 1 Pu 2.10

Output
For the formation energy from raw total energies, the calculation gives -18.66 eV per formula unit. For the size of the total moment, the calculation gives 6.1 μB per formula unit. As for the volume: 13.25 Å³/atom. The calculation puts the density at 4.53 Mg/m³.


No. 12
The following is a PBE calculation of an optimized crystal structure of GaSeSN2, from Alexandria via LeMat-Bulk.

Lattice parameters (Å, degrees): 3.7078 3.7078 7.3939 90.00 90.00 90.00
Last column: nearest neighbours and their distance in Å.
Positions (direct):
S  0.5000  0.5000  0.5000  4 Se 2.62
Ga  0.0000  0.0000  0.0000  4 N 1.85
Se  0.0000  0.0000  0.5000  4 S 2.62
N  0.0000  0.5000  0.0000  2 Ga 1.85
N  0.5000  0.0000  0.0000  2 Ga 1.85

Output
For the formation energy from raw total energies, the calculation gives 6.70 eV per formula unit. For the size of the total moment, the calculation gives 2.2 μB per formula unit. As for the volume: 20.33 Å³/atom. The calculation puts the density at 3.41 Mg/m³.


Question: Which formula does entry 8 have?
Answer: BeInNF2


Question: Among the records above, which one has the highest size of the total moment?
Answer: Li2PuTiO8